No. 1
Below is Cs2BrF at its PBEsol-relaxed geometry, with properties calculated at the meta-GGA SCAN level.

Unit cell a=8.2660 b=8.2660 c=8.9868 alpha=90.00 beta=90.00 gamma=90.00
Space group I-42d (No. 122)
Unique sites:
Cs  0.1806  0.7500  0.1250 (multiplicity 8)
Br  0.0000  0.0000  0.5000 (multiplicity 4)
F  0.0000  0.0000  0.0000 (multiplicity 4)

Properties
As for the spin magnetization: 0.00 μB/f.u. The total energy is -26.997 eV per atom. The calculation puts the uncorrected formation energy at -2.3417 eV per atom.

---

No. 2
Below is CsBrF2 at its PBEsol-relaxed geometry, with properties calculated at the meta-GGA SCAN level.

Unit cell a=5.0317 b=5.0317 c=15.2598 alpha=90.00 beta=90.00 gamma=90.00
Space group I-42d (No. 122)
Unique sites:
Cs  0.0000  0.0000  0.0000 (multiplicity 4)
Br  0.0000  0.0000  0.5000 (multiplicity 4)
F  0.1030  0.2500  0.6250 (multiplicity 8)

Properties
As for the spin magnetization: 0.00 μB/f.u. The total energy is -17.462 eV per atom. The calculation puts the uncorrected formation energy at -1.3741 eV per atom. The excess energy over the best structure of this formula in the dataset is 0.5038 eV per atom.

---

No. 3
Below is CsBrF6 at its PBEsol-relaxed geometry, with properties calculated at the meta-GGA SCAN level.

Unit cell a=7.8770 b=7.8770 c=7.9341 alpha=90.00 beta=90.00 gamma=120.00
Space group R-3 (No. 148, hexagonal axes)
Unique sites:
Cs  0.0000  0.0000  0.0000 (multiplicity 3)
Br  0.0000  0.0000  0.5000 (multiplicity 3)
F  0.0626  0.8453  0.6395 (multiplicity 18)

Properties
As for the spin magnetization: 0.00 μB/f.u. The total energy is -11.408 eV per atom. The calculation puts the uncorrected formation energy at -1.5947 eV per atom.

---

No. 4
Below is CsBrF at its PBEsol-relaxed geometry, with properties calculated at the meta-GGA SCAN level.

Unit cell a=4.2724 b=4.2724 c=19.5972 alpha=90.00 beta=90.00 gamma=90.00
Space group I4/mmm (No. 139)
Unique sites:
Cs  0.0000  0.0000  0.1679 (multiplicity 4)
Br  0.0000  0.0000  0.4388 (multiplicity 4)
F  0.0000  0.0000  0.3155 (multiplicity 4)

Properties
As for the spin magnetization: 0.00 μB/f.u. The total energy is -22.213 eV per atom. The calculation puts the uncorrected formation energy at -1.9425 eV per atom.

---

No. 5
Below is CsBr3F at its PBEsol-relaxed geometry, with properties calculated at the meta-GGA SCAN level.

Unit cell a=5.1121 b=5.1121 c=5.1121 alpha=90.00 beta=90.00 gamma=90.00
Space group Pm-3m (No. 221)
Unique sites:
Cs  0.0000  0.0000  0.0000 (multiplicity 1)
Br  0.0000  0.5000  0.5000 (multiplicity 3)
F  0.5000  0.5000  0.5000 (multiplicity 1)

Properties
As for the spin magnetization: 1.34 μB/f.u. The total energy is -20.584 eV per atom. The calculation puts the uncorrected formation energy at -0.6384 eV per atom.

---

No. 6
Below is CsBrF2 at its PBEsol-relaxed geometry, with properties calculated at the meta-GGA SCAN level.

Unit cell a=4.8529 b=4.8529 c=17.9079 alpha=90.00 beta=90.00 gamma=120.00
Space group R-3m (No. 166, hexagonal axes)
Unique sites:
Cs  0.0000  0.0000  0.0000 (multiplicity 3)
Br  0.0000  0.0000  0.5000 (multiplicity 3)
F  0.0000  0.0000  0.3897 (multiplicity 6)

Properties
As for the spin magnetization: 0.01 μB/f.u. The total energy is -17.965 eV per atom. The calculation puts the uncorrected formation energy at -1.8779 eV per atom. The excess energy over the best structure of this formula in the dataset is 0.0000 eV per atom.

---

No. 7
Below is Cs2MnBrF at its PBEsol-relaxed geometry, with properties calculated at the meta-GGA SCAN level.

Unit cell a=6.5754 b=6.5754 c=3.9547 alpha=90.00 beta=90.00 gamma=90.00
Space group P4/mmm (No. 123)
Unique sites:
Cs  0.0000  0.5000  0.0000 (multiplicity 2)
Mn  0.0000  0.0000  0.0000 (multiplicity 1)
Br  0.5000  0.5000  0.5000 (multiplicity 1)
F  0.0000  0.0000  0.5000 (multiplicity 1)

Properties
As for the spin magnetization: 3.58 μB/f.u. The total energy is -24.559 eV per atom. The calculation puts the uncorrected formation energy at -1.1841 eV per atom.

---

No. 8
Below is CsBrOF2 at its PBEsol-relaxed geometry, with properties calculated at the meta-GGA SCAN level.

Unit cell a=4.9686 b=4.9686 c=4.4276 alpha=90.00 beta=90.00 gamma=90.00
Space group P4/mmm (No. 123)
Unique sites:
Cs  0.0000  0.0000  0.0000 (multiplicity 1)
Br  0.5000  0.5000  0.5000 (multiplicity 1)
O  0.0000  0.0000  0.5000 (multiplicity 1)
F  0.0000  0.5000  0.0000 (multiplicity 2)

Properties
As for the spin magnetization: 2.61 μB/f.u. The total energy is -14.173 eV per atom. The calculation puts the uncorrected formation energy at -0.0571 eV per atom.

---

Please write out number 8 again, unchanged.
Below is CsBrOF2 at its PBEsol-relaxed geometry, with properties calculated at the meta-GGA SCAN level.

Unit cell a=4.9686 b=4.9686 c=4.4276 alpha=90.00 beta=90.00 gamma=90.00
Space group P4/mmm (No. 123)
Unique sites:
Cs  0.0000  0.0000  0.0000 (multiplicity 1)
Br  0.5000  0.5000  0.5000 (multiplicity 1)
O  0.0000  0.0000  0.5000 (multiplicity 1)
F  0.0000  0.5000  0.0000 (multiplicity 2)

Properties
As for the spin magnetization: 2.61 μB/f.u. The total energy is -14.173 eV per atom. The calculation puts the uncorrected formation energy at -0.0571 eV per atom.

---

Which formula does entry 2 have? CsBrF2

---

What is the spin magnetization in the seventh record? 3.58 μB/f.u.

---

Which of these has the highest spin magnetization? Cs2MnBrF